# Tc2NiRu

A crystal of Tc2NiRu relaxed with PBEsol (meta-GGA SCAN, Alexandria).

## Properties
- Formation enthalpy at 0 K: -59 meV/atom
- Total magnetic moment: 0.000 μB per atom
- Electronic total energy: -30.339 eV per atom

Geometry as POSCAR:
```
Tc2NiRu
1.0
2.6657 0.0000 0.0000
0.0000 4.2039 0.0000
0.0000 0.0000 4.6043
Tc Ni Ru
2 1 1
Cartesian
0.0000 0.0000 0.0000
0.0000 2.1019 1.5510
1.3328 2.1019 3.8900
1.3328 0.0000 2.3824
```